(1)
CdSnPbBr2 | PBE | optimized geometry

Energy relative to the lowest polymorph listed for this composition in eV per formula unit: 0.287
E_tot in eV/atom: -2.325
ΔE_f (raw) in eV per atom: 0.07
Size of the total moment in μB per cell: 0.0
Crystal system: tetragonal

abc: 5.322 5.322 6.143
angles: 90.00 90.00 90.00
Element x y z (fractional)
Cd (0.000, 0.000, 0.000)
Sn (0.500, 0.500, 0.500)
Pb (0.000, 0.000, 0.500)
Br (0.000, 0.500, 0.000)
Br (0.500, 0.000, 0.000)



(2)
OsRuRh2 | PBE | optimized geometry

Energy relative to the lowest polymorph listed for this composition in eV per formula unit: 0.243
Formation energy from the elements in eV per atom: 0.109
E_tot in eV/atom: -8.693
Size of the total moment in μB per cell: 0.0
Crystal system: trigonal

abc: 2.718 2.718 26.573
angles: 90.00 90.00 120.00
Element x y z (fractional)
Os (0.000, 0.000, 0.000)
Os (0.333, 0.667, 0.667)
Os (0.667, 0.333, 0.333)
Ru (0.000, 0.000, 0.500)
Ru (0.333, 0.667, 0.167)
Ru (0.667, 0.333, 0.833)
Rh (0.000, 0.000, 0.250)
Rh (0.000, 0.000, 0.750)
Rh (0.333, 0.667, 0.417)
Rh (0.333, 0.667, 0.917)
Rh (0.667, 0.333, 0.083)
Rh (0.667, 0.333, 0.583)



(3)
CsCaP3O9 | PBE | optimized geometry

E_tot in eV/atom: -7.007
ΔE_f (raw) in eV per atom: -2.46
Size of the total moment in μB per cell: 0.0
Crystal system: orthorhombic

abc: 10.066 7.672 12.892
angles: 90.00 90.00 90.00
Element x y z (fractional)
Cs (0.108, 0.250, 0.086)
Cs (0.392, 0.750, 0.586)
Cs (0.608, 0.250, 0.414)
Cs (0.892, 0.750, 0.914)
Ca (0.012, 0.750, 0.224)
Ca (0.488, 0.250, 0.724)
Ca (0.512, 0.750, 0.276)
Ca (0.988, 0.250, 0.776)
P (0.213, 0.250, 0.543)
P (0.248, 0.053, 0.352)
P (0.248, 0.447, 0.352)
P (0.252, 0.553, 0.852)
P (0.252, 0.947, 0.852)
P (0.287, 0.750, 0.043)
P (0.713, 0.250, 0.957)
P (0.748, 0.053, 0.148)
P (0.748, 0.447, 0.148)
P (0.752, 0.553, 0.648)
P (0.752, 0.947, 0.648)
P (0.787, 0.750, 0.457)
O (0.110, 0.250, 0.625)
O (0.123, 0.044, 0.865)
O (0.123, 0.456, 0.865)
O (0.141, 0.750, 0.070)
O (0.144, 0.517, 0.281)
O (0.144, 0.983, 0.281)
O (0.182, 0.086, 0.465)
O (0.182, 0.414, 0.465)
O (0.212, 0.750, 0.815)
O (0.288, 0.250, 0.315)
O (0.318, 0.586, 0.965)
O (0.318, 0.914, 0.965)
O (0.356, 0.017, 0.781)
O (0.356, 0.483, 0.781)
O (0.359, 0.250, 0.570)
O (0.377, 0.544, 0.365)
O (0.377, 0.956, 0.365)
O (0.390, 0.750, 0.125)
O (0.610, 0.250, 0.875)
O (0.623, 0.044, 0.635)
O (0.623, 0.456, 0.635)
O (0.641, 0.750, 0.430)
O (0.644, 0.517, 0.219)
O (0.644, 0.983, 0.219)
O (0.682, 0.086, 0.035)
O (0.682, 0.414, 0.035)
O (0.712, 0.750, 0.685)
O (0.788, 0.250, 0.185)
O (0.818, 0.586, 0.535)
O (0.818, 0.914, 0.535)
O (0.856, 0.017, 0.719)
O (0.856, 0.483, 0.719)
O (0.859, 0.250, 0.930)
O (0.877, 0.544, 0.135)
O (0.877, 0.956, 0.135)
O (0.890, 0.750, 0.375)



(4)
RbEu2Ga | PBE | optimized geometry

Energy relative to the lowest polymorph listed for this composition in eV per formula unit: 0.000
Formation energy from the elements in eV per atom: -0.137
E_tot in eV/atom: -6.273
Size of the total moment in μB per cell: 14.4
Crystal system: tetragonal

abc: 3.909 3.909 11.038
angles: 90.00 90.00 90.00
Element x y z (fractional)
Rb (0.000, 0.000, 0.000)
Eu (0.500, 0.500, 0.344)
Eu (0.500, 0.500, 0.656)
Ga (0.000, 0.000, 0.500)



Copy entry 4 word for word.
RbEu2Ga | PBE | optimized geometry

Energy relative to the lowest polymorph listed for this composition in eV per formula unit: 0.000
Formation energy from the elements in eV per atom: -0.137
E_tot in eV/atom: -6.273
Size of the total moment in μB per cell: 14.4
Crystal system: tetragonal

abc: 3.909 3.909 11.038
angles: 90.00 90.00 90.00
Element x y z (fractional)
Rb (0.000, 0.000, 0.000)
Eu (0.500, 0.500, 0.344)
Eu (0.500, 0.500, 0.656)
Ga (0.000, 0.000, 0.500)



- The highest E_tot belongs to which entry?
  CdSnPbBr2